No. 1
Below is crystalline NaSm2ThS4 at its relaxed geometry, with properties calculated at the PBE level.

The total moment comes out at 0.00 μB/f.u. For the density of states at the Fermi level, the calculation gives 4.42 states/eV/f.u. For the electronic total energy, the calculation gives -0.455 Ry per atom. For the formation energy without anion corrections, the calculation gives -1852.0 meV per atom.

The structure belongs to space group P2/m (No. 10); the cell edges are 6.963, 4.001 and 6.990 Å and the angles 90.00°, 108.91° and 90.00°. The distinct sites, in fractional coordinates, are Na at (0.000, 0.000, 0.000), Sm at (0.500, 0.000, 0.500), Sm at (0.500, 0.500, 0.000), Th at (0.000, 0.500, 0.500), S at (0.249, 0.000, 0.754) and S at (0.251, 0.500, 0.252).


No. 2
Below is crystalline Na2SmTlS4 at its relaxed geometry, with properties calculated at the PBE level.

The total moment comes out at 0.00 μB/f.u. For the electronic total energy, the calculation gives -0.325 Ry per atom. For the formation energy without anion corrections, the calculation gives -1139.8 meV per atom.

The structure belongs to space group P2/m (No. 10); the cell edges are 6.967, 3.999 and 7.191 Å and the angles 90.00°, 109.59° and 90.00°. The distinct sites, in fractional coordinates, are Na at (0.000, 0.000, 0.000), Na at (0.500, 0.500, 0.000), Sm at (0.000, 0.500, 0.500), Tl at (0.500, 0.000, 0.500), S at (0.239, 0.000, 0.738) and S at (0.267, 0.500, 0.274).